## i
Density functional theory data (PBE) for a geometry-optimized Ta2H4O7 structure.

Lattice parameters (Å, degrees): 10.404 10.404 10.404 90.00 90.00 90.00
Space group Fd-3m (No. 227, origin choice 2)
Asymmetric unit:
1 Ta 0.000 0.000 0.000 [16 per cell]
2 H 0.067 0.067 0.567 [32 per cell]
3 O 0.072 0.375 0.375 [48 per cell]
4 O 0.125 0.125 0.625 [8 per cell]

Values from the calculation:
* N(E_F): 17.09 states/eV/cell

## ii
Density functional theory data (PBE) for a geometry-optimized Ta2H4O7 structure.

Lattice parameters (Å, degrees): 10.604 10.558 7.417 90.00 132.83 90.00
Space group Cc (No. 9)
Asymmetric unit:
1 Ta 0.000 0.000 0.000 [4 per cell]
2 Ta 0.251 0.243 0.487 [4 per cell]
3 H 0.007 0.423 0.263 [4 per cell]
4 H 0.148 0.401 0.013 [4 per cell]
5 H 0.214 0.365 0.771 [4 per cell]
6 H 0.474 0.146 0.261 [4 per cell]
7 O 0.068 0.414 0.833 [4 per cell]
8 O 0.159 0.132 0.588 [4 per cell]
9 O 0.172 0.126 0.235 [4 per cell]
10 O 0.291 0.371 0.740 [4 per cell]
11 O 0.310 0.372 0.379 [4 per cell]
12 O 0.479 0.444 0.231 [4 per cell]
13 O 0.493 0.172 0.737 [4 per cell]

Values from the calculation:
* N(E_F): 0.00 states/eV/cell

## iii
Density functional theory data (PBE) for a geometry-optimized Ta2H4O7 structure.

Lattice parameters (Å, degrees): 10.196 10.853 10.980 90.00 90.00 90.00
Space group Fddd (No. 70, origin choice 2)
Asymmetric unit:
1 Ta 0.000 0.000 0.000 [16 per cell]
2 H 0.070 0.375 0.875 [16 per cell]
3 H 0.125 0.037 0.625 [16 per cell]
4 O 0.083 0.375 0.375 [16 per cell]
5 O 0.125 0.125 0.299 [16 per cell]
6 O 0.125 0.125 0.625 [8 per cell]
7 O 0.125 0.305 0.125 [16 per cell]

Values from the calculation:
* N(E_F): 0.00 states/eV/cell

Q: What are the energies relative to the best structure? A: i 0.494; ii 0.000; iii 0.118, in eV/atom.

## i
Density functional theory data (PBE) for a geometry-optimized Ta2H2O structure.

Lattice parameters (Å, degrees): 5.823 5.823 2.811 90.00 90.00 90.00
Space group P4/mbm (No. 127)
Asymmetric unit:
1 Ta 0.221 0.279 0.000 [4 per cell]
2 H 0.111 0.611 0.500 [4 per cell]
3 O 0.000 0.000 0.500 [2 per cell]

Values from the calculation:
* N(E_F): 4.06 states/eV/cell

## ii
Density functional theory data (PBE) for a geometry-optimized Ta2H2O structure.

Lattice parameters (Å, degrees): 4.021 4.021 6.037 90.00 90.00 90.00
Space group I4/mmm (No. 139)
Asymmetric unit:
1 Ta 0.000 0.500 0.250 [4 per cell]
2 H 0.000 0.000 0.144 [4 per cell]
3 O 0.000 0.000 0.500 [2 per cell]

Values from the calculation:
* N(E_F): 5.43 states/eV/cell

Q: What are the energies relative to the best structure? A: i 0.000; ii 0.095, in eV/atom.